Density functional theory data (PBE) for crystalline AcPmTc2O8 at its relaxed geometry.

The calculation puts the uncorrected formation energy at -2.0971 eV per atom. As for the density: 5.11 Mg/m³.

It has space group P-3m1 (No. 164), with a = 5.9466 Å, b = 5.9466 Å, c = 7.3852 Å, α = 90.00°, β = 90.00° and γ = 120.00°. The distinct sites, in fractional coordinates, are Ac at (0.0000, 0.0000, 0.0000), Pm at (0.0000, 0.0000, 0.5000), Tc at (0.3333, 0.6667, 0.7951), O at (0.1598, 0.3197, 0.7248) and O at (0.3333, 0.6667, 0.0382).